Record 1
The following is a GGA-PBEsol calculation of a geometry-optimized LaZrMn3 structure, from the Alexandria database.

a b c (Å): 4.794 4.794 4.794
angles (deg): 90.00 90.00 90.00
Positions (direct):
La 0.000 0.000 0.000
Zr 0.500 0.500 0.500
Mn 0.000 0.500 0.500
Mn 0.500 0.000 0.500
Mn 0.500 0.500 0.000

Output
The value obtained for the density of states at the Fermi level is 5.41 states/eV per cell. The calculation puts the total magnetic moment at 8.67 Bohr magnetons per cell. The value obtained for the formation energy is 0.949 eV/atom. For the calculated density, the calculation gives 6.0 Mg/m³.


Record 2
The following is a GGA-PBEsol calculation of a geometry-optimized La2ZrMn structure, from the Alexandria database.

a b c (Å): 3.454 3.454 8.313
angles (deg): 90.00 90.00 90.00
Positions (direct):
La 0.000 0.000 0.000
La 0.500 0.500 0.336
Zr 0.500 0.500 0.718
Mn 0.000 0.000 0.573

Output
The energy above the most stable polymorph in this dataset is 0.0 meV/atom. The value obtained for the density of states at the Fermi level is 5.90 states/eV per cell. The calculation puts the total magnetic moment at 2.05 Bohr magnetons per cell. The value obtained for the formation energy is 0.208 eV/atom. For the calculated density, the calculation gives 7.1 Mg/m³.


Record 3
The following is a GGA-PBEsol calculation of a geometry-optimized LaZr2Mn structure, from the Alexandria database.

a b c (Å): 3.346 5.043 9.893
angles (deg): 90.00 90.00 90.00
Positions (direct):
La 0.000 0.000 0.000
La 0.500 0.500 0.500
Zr 0.000 0.000 0.409
Zr 0.000 0.500 0.213
Zr 0.500 0.000 0.713
Zr 0.500 0.500 0.909
Mn 0.000 0.500 0.720
Mn 0.500 0.000 0.220

Output
The energy above the most stable polymorph in this dataset is 158.3 meV/atom. The value obtained for the density of states at the Fermi level is 6.51 states/eV per cell. The calculation puts the total magnetic moment at 0.00 Bohr magnetons per cell. The value obtained for the formation energy is 0.244 eV/atom. For the calculated density, the calculation gives 7.5 Mg/m³.


Record 4
The following is a GGA-PBEsol calculation of a geometry-optimized LaZr2Mn structure, from the Alexandria database.

a b c (Å): 4.444 4.444 8.910
angles (deg): 90.00 90.00 90.00
Positions (direct):
La 0.000 0.000 0.000
La 0.500 0.500 0.500
Zr 0.000 0.000 0.500
Zr 0.000 0.500 0.750
Zr 0.500 0.000 0.250
Zr 0.500 0.500 0.000
Mn 0.000 0.500 0.250
Mn 0.500 0.000 0.750

Output
The energy above the most stable polymorph in this dataset is 291.5 meV/atom. The value obtained for the density of states at the Fermi level is 11.00 states/eV per cell. The calculation puts the total magnetic moment at 7.04 Bohr magnetons per cell. The value obtained for the formation energy is 0.377 eV/atom. For the calculated density, the calculation gives 7.1 Mg/m³.


Record 5
The following is a GGA-PBEsol calculation of a geometry-optimized LaZr2Mn structure, from the Alexandria database.

a b c (Å): 5.087 5.087 3.233
angles (deg): 90.00 90.00 90.00
Positions (direct):
La 0.000 0.000 0.000
Zr 0.000 0.500 0.500
Zr 0.500 0.000 0.500
Mn 0.500 0.500 0.000

Output
The energy above the most stable polymorph in this dataset is 323.3 meV/atom. The value obtained for the density of states at the Fermi level is 5.52 states/eV per cell. The calculation puts the total magnetic moment at 2.77 Bohr magnetons per cell. The value obtained for the formation energy is 0.409 eV/atom. For the calculated density, the calculation gives 7.5 Mg/m³.


Record 6
The following is a GGA-PBEsol calculation of a geometry-optimized La2ZrMn structure, from the Alexandria database.

a b c (Å): 7.404 7.404 7.404
angles (deg): 90.00 90.00 90.00
Positions (direct):
La 0.250 0.250 0.250
La 0.250 0.250 0.750
La 0.250 0.750 0.250
La 0.250 0.750 0.750
La 0.750 0.250 0.250
La 0.750 0.250 0.750
La 0.750 0.750 0.250
La 0.750 0.750 0.750
Zr 0.000 0.000 0.000
Zr 0.000 0.500 0.500
Zr 0.500 0.000 0.500
Zr 0.500 0.500 0.000
Mn 0.000 0.000 0.500
Mn 0.000 0.500 0.000
Mn 0.500 0.000 0.000
Mn 0.500 0.500 0.500

Output
The energy above the most stable polymorph in this dataset is 243.8 meV/atom. The value obtained for the density of states at the Fermi level is 21.14 states/eV per cell. The calculation puts the total magnetic moment at 13.15 Bohr magnetons per cell. The value obtained for the formation energy is 0.452 eV/atom. For the calculated density, the calculation gives 6.9 Mg/m³.


Record 7
The following is a GGA-PBEsol calculation of a geometry-optimized LaZrMn structure, from the Alexandria database.

a b c (Å): 6.430 6.430 6.430
angles (deg): 90.00 90.00 90.00
Positions (direct):
La 0.000 0.000 0.000
La 0.000 0.500 0.500
La 0.500 0.000 0.500
La 0.500 0.500 0.000
Zr 0.000 0.000 0.500
Zr 0.000 0.500 0.000
Zr 0.500 0.000 0.000
Zr 0.500 0.500 0.500
Mn 0.250 0.250 0.750
Mn 0.250 0.750 0.250
Mn 0.750 0.250 0.250
Mn 0.750 0.750 0.750

Output
The value obtained for the density of states at the Fermi level is 13.68 states/eV per cell. The calculation puts the total magnetic moment at 0.70 Bohr magnetons per cell. The value obtained for the formation energy is 0.446 eV/atom. For the calculated density, the calculation gives 7.1 Mg/m³.


Record 8
The following is a GGA-PBEsol calculation of a geometry-optimized LaZr2Mn structure, from the Alexandria database.

a b c (Å): 3.197 3.197 8.266
angles (deg): 90.00 90.00 90.00
Positions (direct):
La 0.000 0.000 0.000
Zr 0.500 0.500 0.319
Zr 0.500 0.500 0.681
Mn 0.000 0.000 0.500

Output
The energy above the most stable polymorph in this dataset is 0.0 meV/atom. The value obtained for the density of states at the Fermi level is 5.09 states/eV per cell. The calculation puts the total magnetic moment at 0.00 Bohr magnetons per cell. The value obtained for the formation energy is 0.086 eV/atom. For the calculated density, the calculation gives 7.4 Mg/m³.


Record 9
The following is a GGA-PBEsol calculation of a geometry-optimized LaZr2Mn2 structure, from the Alexandria database.

a b c (Å): 4.247 4.247 11.159
angles (deg): 90.00 90.00 90.00
Positions (direct):
La 0.000 0.000 0.000
La 0.500 0.500 0.500
Zr 0.000 0.000 0.363
Zr 0.000 0.000 0.637
Zr 0.500 0.500 0.137
Zr 0.500 0.500 0.863
Mn 0.000 0.500 0.250
Mn 0.000 0.500 0.750
Mn 0.500 0.000 0.250
Mn 0.500 0.000 0.750

Output
The value obtained for the density of states at the Fermi level is 9.92 states/eV per cell. The calculation puts the total magnetic moment at 1.08 Bohr magnetons per cell. The value obtained for the formation energy is 0.469 eV/atom. For the calculated density, the calculation gives 7.1 Mg/m³.


Record 10
The following is a GGA-PBEsol calculation of a geometry-optimized LaZr2Mn structure, from the Alexandria database.

a b c (Å): 7.023 7.023 7.023
angles (deg): 90.00 90.00 90.00
Positions (direct):
La 0.000 0.000 0.000
La 0.000 0.500 0.500
La 0.500 0.000 0.500
La 0.500 0.500 0.000
Zr 0.000 0.000 0.500
Zr 0.000 0.500 0.000
Zr 0.250 0.250 0.750
Zr 0.250 0.750 0.250
Zr 0.500 0.000 0.000
Zr 0.500 0.500 0.500
Zr 0.750 0.250 0.250
Zr 0.750 0.750 0.750
Mn 0.250 0.250 0.250
Mn 0.250 0.750 0.750
Mn 0.750 0.250 0.750
Mn 0.750 0.750 0.250

Output
The energy above the most stable polymorph in this dataset is 316.9 meV/atom. The value obtained for the density of states at the Fermi level is 28.68 states/eV per cell. The calculation puts the total magnetic moment at 14.78 Bohr magnetons per cell. The value obtained for the formation energy is 0.403 eV/atom. For the calculated density, the calculation gives 7.2 Mg/m³.


Record 11
The following is a GGA-PBEsol calculation of a geometry-optimized La2ZrMn structure, from the Alexandria database.

a b c (Å): 7.248 7.248 7.248
angles (deg): 90.00 90.00 90.00
Positions (direct):
La 0.000 0.000 0.000
La 0.000 0.500 0.500
La 0.250 0.250 0.250
La 0.250 0.750 0.750
La 0.500 0.000 0.500
La 0.500 0.500 0.000
La 0.750 0.250 0.750
La 0.750 0.750 0.250
Zr 0.000 0.000 0.500
Zr 0.000 0.500 0.000
Zr 0.500 0.000 0.000
Zr 0.500 0.500 0.500
Mn 0.250 0.250 0.750
Mn 0.250 0.750 0.250
Mn 0.750 0.250 0.250
Mn 0.750 0.750 0.750

Output
The energy above the most stable polymorph in this dataset is 215.5 meV/atom. The value obtained for the density of states at the Fermi level is 24.59 states/eV per cell. The calculation puts the total magnetic moment at 7.01 Bohr magnetons per cell. The value obtained for the formation energy is 0.424 eV/atom. For the calculated density, the calculation gives 7.4 Mg/m³.


Record 12
The following is a GGA-PBEsol calculation of a geometry-optimized La2ZrMn structure, from the Alexandria database.

a b c (Å): 3.531 5.164 10.343
angles (deg): 90.00 90.00 90.00
Positions (direct):
La 0.000 0.000 0.201
La 0.000 0.000 0.799
La 0.500 0.500 0.299
La 0.500 0.500 0.701
Zr 0.000 0.500 0.000
Zr 0.500 0.000 0.500
Mn 0.000 0.500 0.500
Mn 0.500 0.000 0.000

Output
The energy above the most stable polymorph in this dataset is 166.0 meV/atom. The value obtained for the density of states at the Fermi level is 9.22 states/eV per cell. The calculation puts the total magnetic moment at 1.96 Bohr magnetons per cell. The value obtained for the formation energy is 0.374 eV/atom. For the calculated density, the calculation gives 7.5 Mg/m³.


Record 13
The following is a GGA-PBEsol calculation of a geometry-optimized La3ZrMn structure, from the Alexandria database.

a b c (Å): 5.189 5.189 5.189
angles (deg): 90.00 90.00 90.00
Positions (direct):
La 0.000 0.000 0.500
La 0.000 0.500 0.000
La 0.500 0.000 0.000
Zr 0.500 0.500 0.500
Mn 0.000 0.000 0.000

Output
The value obtained for the density of states at the Fermi level is 8.05 states/eV per cell. The calculation puts the total magnetic moment at 0.51 Bohr magnetons per cell. The value obtained for the formation energy is 0.482 eV/atom. For the calculated density, the calculation gives 6.7 Mg/m³.


Record 14
The following is a GGA-PBEsol calculation of a geometry-optimized LaMo5 structure, from the Alexandria database.

a b c (Å): 3.175 13.950 4.603
angles (deg): 90.00 90.00 90.00
Positions (direct):
La 0.000 0.000 0.000
La 0.500 0.500 0.000
Mo 0.000 0.174 0.500
Mo 0.000 0.323 0.000
Mo 0.000 0.500 0.500
Mo 0.000 0.677 0.000
Mo 0.000 0.826 0.500
Mo 0.500 0.000 0.500
Mo 0.500 0.177 0.000
Mo 0.500 0.326 0.500
Mo 0.500 0.674 0.500
Mo 0.500 0.823 0.000

Output
The energy above the most stable polymorph in this dataset is 33.9 meV/atom. The value obtained for the density of states at the Fermi level is 8.86 states/eV per cell. The calculation puts the total magnetic moment at 0.00 Bohr magnetons per cell. The value obtained for the formation energy is 0.410 eV/atom. For the calculated density, the calculation gives 10.1 Mg/m³.


Record 15
The following is a GGA-PBEsol calculation of a geometry-optimized La2Mo structure, from the Alexandria database.

a b c (Å): 3.481 3.481 7.315
angles (deg): 90.00 90.00 120.00
Positions (direct):
La 0.333 0.667 0.209
La 0.667 0.333 0.791
Mo 0.000 0.000 0.500

Output
The energy above the most stable polymorph in this dataset is 129.0 meV/atom. The value obtained for the density of states at the Fermi level is 3.56 states/eV per cell. The calculation puts the total magnetic moment at 0.00 Bohr magnetons per cell. The value obtained for the formation energy is 0.537 eV/atom. For the calculated density, the calculation gives 8.1 Mg/m³.


Record 16
The following is a GGA-PBEsol calculation of a geometry-optimized LaMo3 structure, from the Alexandria database.

a b c (Å): 4.691 4.691 3.219
angles (deg): 90.00 90.00 90.00
Positions (direct):
La 0.000 0.000 0.000
Mo 0.000 0.500 0.500
Mo 0.500 0.000 0.500
Mo 0.500 0.500 0.000

Output
The energy above the most stable polymorph in this dataset is 246.0 meV/atom. The value obtained for the density of states at the Fermi level is 3.65 states/eV per cell. The calculation puts the total magnetic moment at 0.00 Bohr magnetons per cell. The value obtained for the formation energy is 0.663 eV/atom. For the calculated density, the calculation gives 10.0 Mg/m³.


Record 17
The following is a GGA-PBEsol calculation of a geometry-optimized LaMo3 structure, from the Alexandria database.

a b c (Å): 9.057 9.057 2.968
angles (deg): 90.00 90.00 120.00
Positions (direct):
La 0.000 0.000 0.000
La 0.333 0.667 0.667
La 0.667 0.333 0.333
Mo 0.000 0.500 0.000
Mo 0.167 0.333 0.333
Mo 0.167 0.833 0.333
Mo 0.333 0.167 0.667
Mo 0.500 0.000 0.000
Mo 0.500 0.500 0.000
Mo 0.667 0.833 0.333
Mo 0.833 0.167 0.667
Mo 0.833 0.667 0.667

Output
The energy above the most stable polymorph in this dataset is 190.3 meV/atom. The value obtained for the density of states at the Fermi level is 9.75 states/eV per cell. The calculation puts the total magnetic moment at 0.00 Bohr magnetons per cell. The value obtained for the formation energy is 0.608 eV/atom. For the calculated density, the calculation gives 10.1 Mg/m³.


Record 18
The following is a GGA-PBEsol calculation of a geometry-optimized LaMo2 structure, from the Alexandria database.

a b c (Å): 3.597 3.597 5.296
angles (deg): 90.00 90.00 90.00
Positions (direct):
La 0.000 0.000 0.000
Mo 0.000 0.500 0.500
Mo 0.500 0.000 0.500

Output
The energy above the most stable polymorph in this dataset is 339.0 meV/atom. The value obtained for the density of states at the Fermi level is 3.96 states/eV per cell. The calculation puts the total magnetic moment at 0.00 Bohr magnetons per cell. The value obtained for the formation energy is 0.736 eV/atom. For the calculated density, the calculation gives 8.0 Mg/m³.


Record 19
The following is a GGA-PBEsol calculation of a geometry-optimized La2Mo3 structure, from the Alexandria database.

a b c (Å): 3.265 3.265 33.831
angles (deg): 90.00 90.00 120.00
Positions (direct):
La 0.000 0.000 0.100
La 0.000 0.000 0.900
La 0.333 0.667 0.567
La 0.333 0.667 0.766
La 0.667 0.333 0.234
La 0.667 0.333 0.433
Mo 0.000 0.000 0.309
Mo 0.000 0.000 0.500
Mo 0.000 0.000 0.691
Mo 0.333 0.667 0.167
Mo 0.333 0.667 0.358
Mo 0.333 0.667 0.975
Mo 0.667 0.333 0.025
Mo 0.667 0.333 0.642
Mo 0.667 0.333 0.833

Output
The value obtained for the density of states at the Fermi level is 18.50 states/eV per cell. The calculation puts the total magnetic moment at 0.00 Bohr magnetons per cell. The value obtained for the formation energy is 0.739 eV/atom. For the calculated density, the calculation gives 9.0 Mg/m³.


Record 20
The following is a GGA-PBEsol calculation of a geometry-optimized La2Mo structure, from the Alexandria database.

a b c (Å): 3.524 3.524 12.103
angles (deg): 90.00 90.00 90.00
Positions (direct):
La 0.000 0.000 0.145
La 0.000 0.000 0.855
La 0.500 0.500 0.355
La 0.500 0.500 0.645
Mo 0.000 0.000 0.500
Mo 0.500 0.500 0.000

Output
The energy above the most stable polymorph in this dataset is 0.0 meV/atom. The value obtained for the density of states at the Fermi level is 7.02 states/eV per cell. The calculation puts the total magnetic moment at 0.00 Bohr magnetons per cell. The value obtained for the formation energy is 0.408 eV/atom. For the calculated density, the calculation gives 8.3 Mg/m³.